Below is an optimized crystal structure of LaDy2Zr, with properties calculated at the PBE level.

```
LaDy2Zr
1.0
4.912 0.000 0.000
0.000 4.912 0.000
0.000 0.000 4.960
La Dy Zr
1 2 1
direct
0.000 0.000 0.000
0.000 0.500 0.500
0.500 0.000 0.500
0.500 0.500 0.000
```

Calculated values
N(E_F) = 1.205 states/eV per atom
Space group = P4/mmm (123)
Excess energy over the best structure of this formula in the dataset = 46 meV/atom
DFT formation energy = 0.12 eV per atom

***

Below is an optimized crystal structure of CsIn2I2Br, with properties calculated at the PBE level.

```
CsIn2I2Br
1.0
8.021 0.000 0.000
0.000 7.199 0.000
-0.113 0.000 9.876
Cs In I Br
2 4 4 2
direct
0.231 0.250 0.429
0.769 0.750 0.571
0.194 0.517 0.908
0.194 0.983 0.908
0.806 0.017 0.092
0.806 0.483 0.092
0.284 0.750 0.633
0.499 0.750 0.137
0.501 0.250 0.863
0.716 0.250 0.367
0.008 0.750 0.269
0.992 0.250 0.731
```

Calculated values
Space group = P2_1/m (11)
ΔE_f (raw) = -838 meV per atom

***

Below is an optimized crystal structure of Th3BiOsPt, with properties calculated at the PBE level.

```
Th3BiOsPt
1.0
8.621 0.000 0.000
0.000 4.319 0.000
-4.171 0.000 9.049
Th Bi Os Pt
6 2 2 2
direct
0.157 0.250 0.140
0.253 0.750 0.470
0.290 0.750 0.874
0.710 0.250 0.126
0.747 0.250 0.530
0.843 0.750 0.860
0.498 0.750 0.267
0.502 0.250 0.733
0.055 0.250 0.831
0.945 0.750 0.169
0.001 0.250 0.401
0.999 0.750 0.599
```

Calculated values
N(E_F) = 0.768 states/eV per atom
Space group = P2_1/m (11)
DFT formation energy = -0.62 eV per atom

***

Below is an optimized crystal structure of ZrTaFeIr2, with properties calculated at the PBE level.

```
ZrTaFeIr2
1.0
4.718 0.000 0.000
0.000 4.718 0.000
0.000 0.000 5.045
Zr Ta Fe Ir
1 1 1 2
direct
0.000 0.000 0.000
0.000 0.000 0.500
0.500 0.500 0.000
0.000 0.500 0.500
0.500 0.000 0.500
```

Calculated values
N(E_F) = 1.336 states/eV per atom
Space group = P4/mmm (123)
DFT formation energy = 1.67 eV per atom

***

| no. | E_tot (hartree per atom) |
| --- | --- |
| 1 | -0.204 |
| 2 | -0.099 |
| 3 | -0.289 |
| 4 | -0.281 |